Below is a relaxed structure of K2WF, with properties calculated at the GGA+U level.

Summary:
Energy above the lowest structure with this stoichiometry, meV per atom: 327

abc: 5.726 5.726 5.726
angles: 60.00 60.00 60.00
Each line ends with the local moment (μB).
Atoms (fractional coordinates):
K: 0.250 0.250 0.250  0.02
K: 0.750 0.750 0.750  0.02
W: 0.500 0.500 0.500  3.85
F: 0.000 0.000 0.000  0.01